(1)
The following is a DFT calculation (PBE) of Tl4AuBr after structural relaxation.

Summary:
**Crystal system**: cubic
**Electronic total energy**: -2.349 eV/atom

abc: 9.1504 9.1504 9.1504
angles: 90.00 90.00 90.00
Last column: nearest neighbours and their distance in Å.
Space group F-43m (No. 216)
Symmetry-distinct sites (fractional):
Tl  0.1247  0.1247  0.1247 x16  6 Tl 3.23-3.24
Au  0.2500  0.2500  0.7500 x4  12 Tl 3.79, 4 Br 3.96
Br  0.0000  0.0000  0.5000 x4  12 Tl 3.79, 4 Au 3.96

(2)
The following is a DFT calculation (PBE) of La8Rh3I3N after structural relaxation.

Summary:
**Crystal system**: monoclinic
**Electronic total energy**: -5.881 eV/atom

abc: 14.3943 8.2335 9.5942
angles: 90.00 120.06 90.00
Last column: nearest neighbours and their distance in Å.
Space group C2/m (No. 12)
Symmetry-distinct sites (fractional):
La  0.0162  0.2282  0.3233 x8  1 N 2.62, 2 Rh 2.89-2.92
La  0.2151  0.0000  0.6775 x4  1 N 2.68, 2 Rh 2.87
La  0.2293  0.5000  0.6868 x4  3 Rh 2.84-2.86
Rh  0.0000  0.5000  0.5000 x2  6 La 2.86-2.89
Rh  0.2500  0.2500  0.5000 x4  6 La 2.84-2.92
I  0.0000  0.0000  0.0000 x2  6 La 3.53
I  0.2500  0.2500  0.0000 x4  6 La 3.53-3.54
N  0.0000  0.0000  0.5000 x2  6 La 2.62-2.68

(3)
The following is a DFT calculation (PBE) of La2HoSb4Rh3 after structural relaxation.

Summary:
**Crystal system**: tetragonal
**Electronic total energy**: -6.175 eV/atom

abc: 4.5580 4.5580 11.6074
angles: 90.00 90.00 90.00
Last column: nearest neighbours and their distance in Å.
Space group P-4m2 (No. 115)
Symmetry-distinct sites (fractional):
La  0.0000  0.5000  0.2271 x2  4 Rh 3.48, 8 Sb 3.48
Ho  0.0000  0.0000  0.5000 x1  4 Sb 2.93, 4 Rh 3.22
Sb  0.0000  0.0000  0.0000 x1  4 Rh 2.64
Sb  0.0000  0.5000  0.6592 x2  3 Rh 2.63-2.93, 2 Ho 2.93
Sb  0.5000  0.5000  0.0000 x1  4 Rh 2.64
Rh  0.0000  0.5000  0.8858 x2  5 Sb 2.63-2.64
Rh  0.5000  0.5000  0.5000 x1  4 Sb 2.93, 4 Ho 3.22

(4)
The following is a DFT calculation (PBE) of BaSrCd3 after structural relaxation.

Summary:
**Formation energy**: 338 meV per atom
**Crystal system**: cubic
**Electronic total energy**: -0.932 eV/atom

abc: 6.1992 6.1992 6.1992
angles: 90.00 90.00 90.00
Last column: nearest neighbours and their distance in Å.
Space group Pm-3m (No. 221)
Symmetry-distinct sites (fractional):
Ba  0.0000  0.0000  0.0000 x1  6 Cd 3.10
Sr  0.5000  0.5000  0.5000 x1  12 Cd 4.38
Cd  0.0000  0.0000  0.5000 x3  2 Ba 3.10

(5)
The following is a DFT calculation (PBE) of Pr5Hg2Pt2 after structural relaxation.

Summary:
**Formation energy**: -698 meV per atom
**Crystal system**: orthorhombic
**Electronic total energy**: -4.763 eV/atom

abc: 16.0524 7.5608 8.5623
angles: 90.00 90.00 90.00
Last column: nearest neighbours and their distance in Å.
Space group Cmce (No. 64)
Symmetry-distinct sites (fractional):
Pr  0.0000  0.0000  0.0000 x4  2 Pt 2.98
Pr  0.1247  0.1635  0.3231 x16  3 Pt 3.03-3.27, 3 Hg 3.27-3.33
Hg  0.2113  0.0000  0.0000 x8  7 Pr 3.27-3.39
Pt  0.0000  0.1308  0.6231 x8  1 Pt 2.89, 5 Pr 2.98-3.06

(6)
The following is a DFT calculation (PBE) of CuSF2 after structural relaxation.

Summary:
**Crystal system**: cubic
**Electronic total energy**: -3.038 eV/atom

abc: 5.7745 5.7745 5.7745
angles: 90.00 90.00 90.00
Last column: nearest neighbours and their distance in Å.
Space group Fm-3m (No. 225)
Symmetry-distinct sites (fractional):
Cu  0.0000  0.0000  0.0000 x4  8 F 2.50
S  0.0000  0.0000  0.5000 x4  8 F 2.50
F  0.2500  0.2500  0.2500 x8  4 S 2.50, 4 Cu 2.50

(7)
The following is a DFT calculation (PBE) of LiFeAs2 after structural relaxation.

Summary:
**Formation energy**: -218 meV per atom
**Crystal system**: orthorhombic
**Electronic total energy**: -5.137 eV/atom

abc: 2.9303 2.9487 14.5086
angles: 90.00 90.00 90.00
Last column: nearest neighbours and their distance in Å.
Space group Imm2 (No. 44)
Symmetry-distinct sites (fractional):
Li  0.0000  0.0000  0.0000 x2  6 As 2.69-2.78, 4 Li 2.93-2.95
Fe  0.0000  0.5000  0.2555 x2  6 As 2.37-2.45
As  0.0000  0.0000  0.6268 x2  2 Fe 2.37
As  0.0000  0.5000  0.8452 x2  4 Fe 2.45, 2 Li 2.69